Entry from Alexandria: AlSn2IrC after structural relaxation (PBE-GGA).

Its raw total energy is -4.814 eV/atom. As for the calculated formation energy: 1.152 eV per atom.

The structure belongs to space group P4/mmm (No. 123); the cell edges are 5.083, 5.083 and 4.730 Å and the angles 90.00°, 90.00° and 90.00°. Symmetry generates all atoms from Al at (0.000, 0.000, 0.000), Sn at (0.000, 0.500, 0.500), Ir at (0.000, 0.000, 0.500) and C at (0.500, 0.500, 0.000).

***

Entry from Alexandria: Al2TcIrC after structural relaxation (PBE-GGA).

Its raw total energy is -6.207 eV/atom. As for the calculated formation energy: 0.980 eV per atom.

The structure belongs to space group P4/mmm (No. 123); the cell edges are 4.826, 4.826 and 3.760 Å and the angles 90.00°, 90.00° and 90.00°. Symmetry generates all atoms from Al at (0.000, 0.500, 0.000), Tc at (0.000, 0.000, 0.500), Ir at (0.500, 0.500, 0.000) and C at (0.500, 0.500, 0.500).

***

Entry from Alexandria: ThAlIrC after structural relaxation (PBE-GGA).

Its raw total energy is -7.806 eV/atom. As for the calculated formation energy: -0.494 eV per atom.

The structure belongs to space group P4/nmm (No. 129, origin choice 2); the cell edges are 3.969, 3.969 and 8.936 Å and the angles 90.00°, 90.00° and 90.00°. Symmetry generates all atoms from Th at (0.250, 0.250, 0.149), Al at (0.250, 0.250, 0.661), Ir at (0.250, 0.750, 0.500) and C at (0.250, 0.250, 0.881).

***

Entry from Alexandria: UAlIrC after structural relaxation (PBE-GGA).

Its raw total energy is -8.453 eV/atom. As for the calculated formation energy: -0.175 eV per atom.

The structure belongs to space group P4/nmm (No. 129, origin choice 2); the cell edges are 3.846, 3.846 and 8.791 Å and the angles 90.00°, 90.00° and 90.00°. Symmetry generates all atoms from U at (0.250, 0.250, 0.146), Al at (0.250, 0.250, 0.672), Ir at (0.250, 0.750, 0.500) and C at (0.250, 0.250, 0.894).

***

Entry from Alexandria: KAlC2 after structural relaxation (PBE-GGA).

Its raw total energy is -4.629 eV/atom. As for the calculated formation energy: 1.193 eV per atom.

The structure belongs to space group I4_1/amd (No. 141, origin choice 2); the cell edges are 4.556, 4.556 and 12.868 Å and the angles 90.00°, 90.00° and 90.00°. Symmetry generates all atoms from K at (0.000, 0.250, 0.375), Al at (0.000, 0.250, 0.875) and C at (0.000, 0.000, 0.000).

***

Entry from Alexandria: K2AlC after structural relaxation (PBE-GGA).

Its raw total energy is -3.255 eV/atom. As for the calculated formation energy: 0.535 eV per atom.

The structure belongs to space group I-42d (No. 122); the cell edges are 12.446, 12.446 and 3.744 Å and the angles 90.00°, 90.00° and 90.00°. Symmetry generates all atoms from K at (0.045, 0.250, 0.125), Al at (0.000, 0.000, 0.500) and C at (0.000, 0.000, 0.000).

***

Entry from Alexandria: K2AlC after structural relaxation (PBE-GGA).

Its raw total energy is -2.215 eV/atom. As for the calculated formation energy: 1.576 eV per atom.

The structure belongs to space group Fm-3m (No. 225); the cell edges are 7.739, 7.739 and 7.739 Å and the angles 90.00°, 90.00° and 90.00°. Symmetry generates all atoms from K at (0.250, 0.250, 0.250), Al at (0.000, 0.000, 0.000) and C at (0.000, 0.000, 0.500).

***

Entry from Alexandria: KAl2C after structural relaxation (PBE-GGA).

Its raw total energy is -3.818 eV/atom. As for the calculated formation energy: 0.634 eV per atom.

The structure belongs to space group Fd-3m (No. 227, origin choice 2); the cell edges are 9.123, 9.123 and 9.123 Å and the angles 90.00°, 90.00° and 90.00°. Symmetry generates all atoms from K at (0.125, 0.125, 0.125), Al at (0.000, 0.000, 0.500) and C at (0.125, 0.125, 0.625).

***

Entry from Alexandria: K3AlC after structural relaxation (PBE-GGA).

Its raw total energy is -1.674 eV/atom. As for the calculated formation energy: 1.578 eV per atom.

The structure belongs to space group Pm-3m (No. 221); the cell edges are 6.688, 6.688 and 6.688 Å and the angles 90.00°, 90.00° and 90.00°. Symmetry generates all atoms from K at (0.000, 0.000, 0.500), Al at (0.000, 0.000, 0.000) and C at (0.500, 0.500, 0.500).

***

Entry from Alexandria: KAl2C2 after structural relaxation (PBE-GGA).

Its raw total energy is -4.360 eV/atom. As for the calculated formation energy: 1.046 eV per atom.

The structure belongs to space group P4/mbm (No. 127); the cell edges are 8.432, 8.432 and 3.122 Å and the angles 90.00°, 90.00° and 90.00°. Symmetry generates all atoms from K at (0.000, 0.000, 0.000), Al at (0.130, 0.370, 0.500) and C at (0.055, 0.555, 0.000).

***

Entry from Alexandria: KAl2C2 after structural relaxation (PBE-GGA).

Its raw total energy is -5.093 eV/atom. As for the calculated formation energy: 0.313 eV per atom.

The structure belongs to space group I4/mmm (No. 139); the cell edges are 3.684, 3.684 and 12.253 Å and the angles 90.00°, 90.00° and 90.00°. Symmetry generates all atoms from K at (0.000, 0.000, 0.000), Al at (0.000, 0.500, 0.250) and C at (0.000, 0.000, 0.322).

***

Entry from Alexandria: KAlC2N after structural relaxation (PBE-GGA).

The raw formation energy is 3.6546 eV per atom. Its raw total energy is -2.668 eV/atom.

The structure belongs to space group P4/mmm (No. 123); the cell edges are 5.433, 5.433 and 5.065 Å and the angles 90.00°, 90.00° and 90.00°. Symmetry generates all atoms from K at (0.000, 0.000, 0.000), Al at (0.500, 0.500, 0.500), C at (0.000, 0.500, 0.000) and N at (0.000, 0.000, 0.500).

***

Q: Look up the raw total energy of the first one.
A: -4.814 eV/atom

***

Q: Which of these has the lowest raw total energy?
A: UAlIrC

***

Q: Among the records above, which one has the highest raw total energy?
A: K3AlC

***

Please write out number 5 again, unchanged.
Entry from Alexandria: KAlC2 after structural relaxation (PBE-GGA).

Its raw total energy is -4.629 eV/atom. As for the calculated formation energy: 1.193 eV per atom.

The structure belongs to space group I4_1/amd (No. 141, origin choice 2); the cell edges are 4.556, 4.556 and 12.868 Å and the angles 90.00°, 90.00° and 90.00°. Symmetry generates all atoms from K at (0.000, 0.250, 0.375), Al at (0.000, 0.250, 0.875) and C at (0.000, 0.000, 0.000).